VASP calculation (PBE) on SrZn2GaB after structural relaxation.

Results
ρ in g/cm³: 2.84
ΔH_f (0 K) in eV/atom: 1.45

```
SrZn2GaB
1.0
5.9201 0.0000 0.0000
0.0000 4.9957 0.0000
0.0000 0.0000 5.9201
Sr Zn B Ga
1 2 1 1
Direct
0.0000 0.0000 0.0000
0.0000 0.0000 0.5000
0.5000 0.0000 0.0000
0.0000 0.5000 0.0000
0.5000 0.5000 0.5000
```

VASP calculation (PBE) on Cu2SBr3 after structural relaxation.

Results
ρ in g/cm³: 4.35
Energy relative to the elements, uncorrected in eV/f.u.: -1.218

```
Cu2SBr3
1.0
3.8547 -0.2243 -0.1745
-2.2599 6.8962 -1.1586
-0.6101 2.3988 11.2728
Cu S Br
4 2 6
Direct
0.8635 0.5989 0.3611
0.1365 0.4011 0.6389
0.1513 0.1605 0.1382
0.8487 0.8395 0.8618
0.6022 0.1337 0.0349
0.3978 0.8663 0.9651
0.6123 0.4962 0.7997
0.0763 0.9452 0.3067
0.6898 0.2934 0.4673
0.3877 0.5038 0.2003
0.3102 0.7066 0.5327
0.9237 0.0548 0.6933
```

VASP calculation (PBE) on TaRe2As after structural relaxation.

Results
ρ in g/cm³: 16.77
ΔH_f (0 K) in eV/atom: 0.11

```
TaRe2As
1.0
-2.2458 4.6287 0.9938
-3.3663 0.2753 4.0060
4.9137 -1.1554 -1.4058
Re As Ta
2 1 1
Direct
0.0100 0.0100 0.0000
0.7549 0.2549 0.5000
0.2435 0.7435 0.5000
0.4915 0.4915 0.0000
```